(1)
4
Lattice="3.012 0.000 0.000 0.000 4.974 0.000 -0.010 0.000 5.776" Properties=species:S:1:pos:R:3 comment="PBE CaReHg2, optimized geometry" energy_ev_per_atom=-3.249 magmom_total_mub_per_fu=0.00 e_above_lowest_polymorph_ev_per_atom=0.0723 formation_enthalpy_0k_ev_per_atom=0.51 pbc="T T T"
Ca 0.000 0.000 0.000
Re 1.495 2.487 4.358
Hg 1.497 0.000 3.022
Hg 1.508 2.487 1.421

=====

(2)
4
Lattice="2.798 0.000 0.000 0.000 4.967 0.000 0.000 0.000 5.811" Properties=species:S:1:pos:R:3 comment="PBE CaRe2Hg, optimized geometry" energy_ev_per_atom=-5.983 magmom_total_mub_per_fu=0.00 formation_enthalpy_0k_ev_per_atom=0.82 pbc="T T T"
Ca 0.000 0.000 0.000
Re 1.399 2.484 1.160
Re 1.399 2.484 4.651
Hg 0.000 0.000 2.905

=====

(3)
8
Lattice="3.118 0.000 0.000 0.000 5.365 0.000 0.000 0.000 11.627" Properties=species:S:1:pos:R:3 comment="PBE Ca2ReHg, optimized geometry" energy_ev_per_atom=-3.774 magmom_total_mub_per_fu=0.00 formation_enthalpy_0k_ev_per_atom=0.41 pbc="T T T"
Ca 0.000 0.000 0.000
Ca 0.000 2.682 2.193
Ca 1.559 0.000 8.007
Ca 1.559 2.682 5.813
Re 0.000 0.000 5.355
Re 1.559 2.682 11.168
Hg 0.000 2.682 8.841
Hg 1.559 0.000 3.028